Arrangement w

{"formula": "NiAgSn2", "functional": "GGA-PBE", "state": "relaxed", "lattice_angstrom": [[-2.347, -1.326, 1.902], [-1.019, -3.089, -0.550], [5.270, -4.597, 6.157]], "species": ["Ni", "Sn", "Sn", "Ag"], "frac_coords": [[0.500, 0.500, 0.500], [0.100, 0.100, 0.701], [0.900, 0.900, 0.299], [0.000, 0.000, 0.000]], "spacegroup": "No. 166", "mass_density_g_cm3": 7.80}



Arrangement x

{"formula": "NiAgSn2", "functional": "GGA-PBE", "state": "relaxed", "lattice_angstrom": [[3.213, 0.000, 0.000], [0.000, 3.213, 0.000], [0.000, 0.000, 7.693]], "species": ["Ni", "Sn", "Sn", "Ag"], "frac_coords": [[0.500, 0.500, 0.000], [0.000, 0.000, 0.789], [0.000, 0.000, 0.211], [0.500, 0.500, 0.500]], "spacegroup": "No. 123", "mass_density_g_cm3": 8.45}



Arrangement y

{"formula": "NiAgSn2", "functional": "GGA-PBE", "state": "relaxed", "lattice_angstrom": [[0.000, 3.404, 3.404], [3.404, 0.000, 3.404], [3.404, 3.404, 0.000]], "species": ["Ni", "Sn", "Sn", "Ag"], "frac_coords": [[0.000, 0.000, 0.000], [0.250, 0.250, 0.250], [0.750, 0.750, 0.750], [0.500, 0.500, 0.500]], "spacegroup": "No. 225", "mass_density_g_cm3": 8.51}



Tell me which of them is the least stable. Sure, it is arrangement y.



Arrangement w

{"formula": "Ni2AgSn2", "functional": "GGA-PBE", "state": "relaxed", "lattice_angstrom": [[7.550, 0.000, 0.000], [0.000, 7.550, 0.000], [0.000, 0.000, 3.037]], "species": ["Ni", "Ni", "Ni", "Ni", "Sn", "Sn", "Sn", "Sn", "Ag", "Ag"], "frac_coords": [[0.133, 0.633, 0.500], [0.633, 0.867, 0.500], [0.867, 0.367, 0.500], [0.367, 0.133, 0.500], [0.340, 0.840, 0.000], [0.840, 0.660, 0.000], [0.660, 0.160, 0.000], [0.160, 0.340, 0.000], [0.000, 0.000, 0.000], [0.500, 0.500, 0.000]], "spacegroup": "No. 127", "mass_density_g_cm3": 8.88}



Arrangement x

{"formula": "Ni2AgSn2", "functional": "GGA-PBE", "state": "relaxed", "lattice_angstrom": [[7.130, 0.000, 0.000], [0.000, 7.130, 0.000], [0.000, 0.000, 3.349]], "species": ["Ni", "Ni", "Ni", "Ni", "Sn", "Sn", "Sn", "Sn", "Ag", "Ag"], "frac_coords": [[0.370, 0.870, 0.000], [0.870, 0.630, 0.000], [0.630, 0.130, 0.000], [0.130, 0.370, 0.000], [0.166, 0.666, 0.500], [0.666, 0.834, 0.500], [0.834, 0.334, 0.500], [0.334, 0.166, 0.500], [0.000, 0.000, 0.000], [0.500, 0.500, 0.000]], "spacegroup": "No. 127", "mass_density_g_cm3": 9.02}



Arrangement y

{"formula": "Ni2AgSn2", "functional": "GGA-PBE", "state": "relaxed", "lattice_angstrom": [[-1.734, -2.399, -1.773], [2.944, -1.704, -0.574], [-0.482, -6.163, 5.453]], "species": ["Ni", "Ni", "Sn", "Sn", "Ag"], "frac_coords": [[0.750, 0.250, 0.500], [0.250, 0.750, 0.500], [0.377, 0.377, 0.247], [0.623, 0.623, 0.753], [0.000, 0.000, 0.000]], "spacegroup": "No. 139", "mass_density_g_cm3": 8.20}



Arrangement z

{"formula": "Ni2AgSn2", "functional": "GGA-PBE", "state": "relaxed", "lattice_angstrom": [[-1.182, -0.259, 4.127], [-0.401, -4.265, -0.383], [4.179, -2.854, 3.259]], "species": ["Ni", "Ni", "Sn", "Sn", "Ag"], "frac_coords": [[0.388, 0.388, 0.223], [0.612, 0.612, 0.777], [0.750, 0.250, 0.500], [0.250, 0.750, 0.500], [0.000, 0.000, 0.000]], "spacegroup": "No. 139", "mass_density_g_cm3": 8.00}



Tell me which of them is the least stable. Sure, it is arrangement z.



Arrangement w

{"formula": "SrNi2Ag", "functional": "GGA-PBE", "state": "relaxed", "lattice_angstrom": [[5.518, 0.038, 0.017], [2.441, 4.949, -0.017], [-3.501, -3.257, 2.754]], "species": ["Ag", "Ni", "Ni", "Sr"], "frac_coords": [[0.226, 0.726, 0.500], [0.970, 0.970, 0.000], [0.792, 0.292, 0.500], [0.512, 0.512, 0.000]], "spacegroup": "No. 44", "mass_density_g_cm3": 6.95}



Arrangement x

{"formula": "SrNi2Ag", "functional": "GGA-PBE", "state": "relaxed", "lattice_angstrom": [[7.220, 0.041, 0.079], [-2.571, 3.437, 0.018], [2.078, 1.538, 2.934]], "species": ["Ag", "Ni", "Ni", "Sr"], "frac_coords": [[0.500, 0.500, 0.000], [0.000, 0.000, 0.000], [0.500, 0.000, 0.500], [0.000, 0.500, 0.500]], "spacegroup": "No. 123", "mass_density_g_cm3": 7.21}



Tell me which of them is the least stable. Sure, it is arrangement x.



Arrangement w

{"formula": "Sr3NiAg", "functional": "GGA-PBE", "state": "relaxed", "lattice_angstrom": [[-4.597, 2.466, -2.283], [0.403, -3.436, -4.523], [-3.336, -3.814, 2.599]], "species": ["Sr", "Sr", "Sr", "Ag", "Ni"], "frac_coords": [[0.000, 0.500, 0.000], [0.000, 0.000, 0.500], [0.500, 0.000, 0.000], [0.500, 0.500, 0.500], [0.000, 0.000, 0.000]], "spacegroup": "No. 221", "mass_density_g_cm3": 3.86}



Arrangement x

{"formula": "Sr3NiAg", "functional": "GGA-PBE", "state": "relaxed", "lattice_angstrom": [[-5.913, -6.119, 3.021], [-5.324, -7.213, -1.068], [6.677, -5.786, 2.510]], "species": ["Sr", "Sr", "Sr", "Sr", "Sr", "Sr", "Ni", "Ni", "Ag", "Ag"], "frac_coords": [[0.554, 0.554, 0.183], [0.893, 0.893, 0.448], [0.107, 0.107, 0.552], [0.446, 0.446, 0.817], [0.737, 0.737, 0.799], [0.263, 0.263, 0.201], [0.729, 0.729, 0.463], [0.271, 0.271, 0.537], [0.912, 0.912, 0.082], [0.088, 0.088, 0.918]], "spacegroup": "No. 12", "mass_density_g_cm3": 4.15}



Tell me which of them is the least stable. Sure, it is arrangement w.



Arrangement w

{"formula": "SrNi2Ag2", "functional": "GGA-PBE", "state": "relaxed", "lattice_angstrom": [[-2.646, -6.982, -1.331], [4.453, -2.735, 5.496], [-2.301, 0.472, 2.099]], "species": ["Sr", "Sr", "Ag", "Ag", "Ag", "Ag", "Ni", "Ni", "Ni", "Ni"], "frac_coords": [[0.000, 0.000, 0.000], [0.500, 0.500, 0.000], [0.171, 0.671, 0.500], [0.671, 0.829, 0.500], [0.829, 0.329, 0.500], [0.329, 0.171, 0.500], [0.384, 0.884, 0.000], [0.884, 0.616, 0.000], [0.616, 0.116, 0.000], [0.116, 0.384, 0.000]], "spacegroup": "No. 127", "mass_density_g_cm3": 7.71}



Arrangement x

{"formula": "SrNi2Ag2", "functional": "GGA-PBE", "state": "relaxed", "lattice_angstrom": [[4.212, 0.000, 0.000], [0.000, 4.212, 0.000], [2.106, 2.106, 5.496]], "species": ["Sr", "Ag", "Ag", "Ni", "Ni"], "frac_coords": [[0.000, 0.000, 0.000], [0.750, 0.250, 0.500], [0.250, 0.750, 0.500], [0.397, 0.397, 0.206], [0.603, 0.603, 0.794]], "spacegroup": "No. 139", "mass_density_g_cm3": 7.16}



Arrangement y

{"formula": "SrNi2Ag2", "functional": "GGA-PBE", "state": "relaxed", "lattice_angstrom": [[7.801, 0.000, 0.000], [0.000, 7.801, 0.000], [0.000, 0.000, 2.980]], "species": ["Sr", "Sr", "Ag", "Ag", "Ag", "Ag", "Ni", "Ni", "Ni", "Ni"], "frac_coords": [[0.000, 0.000, 0.000], [0.500, 0.500, 0.000], [0.372, 0.872, 0.000], [0.872, 0.628, 0.000], [0.628, 0.128, 0.000], [0.128, 0.372, 0.000], [0.166, 0.666, 0.500], [0.666, 0.834, 0.500], [0.834, 0.334, 0.500], [0.334, 0.166, 0.500]], "spacegroup": "No. 127", "mass_density_g_cm3": 7.71}



Tell me which of them is the least stable. Sure, it is arrangement y.



Arrangement w

{"formula": "Sr2Ni2Ag", "functional": "GGA-PBE", "state": "relaxed", "lattice_angstrom": [[-5.482, 1.399, 1.116], [0.710, -1.599, 5.495], [-1.311, 3.408, 4.187]], "species": ["Sr", "Sr", "Ag", "Ni", "Ni"], "frac_coords": [[0.750, 0.250, 0.500], [0.250, 0.750, 0.500], [0.000, 0.000, 0.000], [0.347, 0.347, 0.305], [0.653, 0.653, 0.695]], "spacegroup": "No. 139", "mass_density_g_cm3": 5.30}



Arrangement x

{"formula": "Sr2Ni2Ag", "functional": "GGA-PBE", "state": "relaxed", "lattice_angstrom": [[7.362, 0.000, 0.000], [0.000, 7.362, 0.000], [0.000, 0.000, 4.309]], "species": ["Sr", "Sr", "Sr", "Sr", "Ag", "Ag", "Ni", "Ni", "Ni", "Ni"], "frac_coords": [[0.181, 0.681, 0.500], [0.681, 0.819, 0.500], [0.819, 0.319, 0.500], [0.319, 0.181, 0.500], [0.000, 0.000, 0.000], [0.500, 0.500, 0.000], [0.388, 0.888, 0.000], [0.888, 0.612, 0.000], [0.612, 0.112, 0.000], [0.112, 0.388, 0.000]], "spacegroup": "No. 127", "mass_density_g_cm3": 5.69}



Tell me which of them is the least stable. Sure, it is arrangement w.



Arrangement w

{"formula": "Sr4NiAg", "functional": "GGA-PBE", "state": "relaxed", "lattice_angstrom": [[7.049, 0.189, -2.425], [-1.604, 6.861, -2.847], [-0.455, -0.151, 9.489]], "species": ["Sr", "Sr", "Sr", "Sr", "Sr", "Sr", "Sr", "Sr", "Ni", "Ni", "Ag", "Ag"], "frac_coords": [[0.028, 0.203, 0.910], [0.774, 0.639, 0.592], [0.381, 0.707, 0.910], [0.318, 0.953, 0.592], [0.682, 0.047, 0.408], [0.619, 0.293, 0.090], [0.226, 0.361, 0.408], [0.972, 0.797, 0.090], [0.326, 0.076, 0.153], [0.674, 0.924, 0.847], [0.372, 0.622, 0.244], [0.628, 0.378, 0.756]], "spacegroup": "No. 15", "mass_density_g_cm3": 3.81}



Arrangement x

{"formula": "Sr4NiAg", "functional": "GGA-PBE", "state": "relaxed", "lattice_angstrom": [[-4.857, -3.655, -3.529], [-6.197, -1.418, 2.997], [-5.825, 3.196, -2.292]], "species": ["Sr", "Sr", "Sr", "Sr", "Ni", "Ag"], "frac_coords": [[0.876, 0.375, 0.375], [0.375, 0.375, 0.876], [0.375, 0.876, 0.375], [0.375, 0.375, 0.375], [0.000, 0.000, 0.000], [0.750, 0.750, 0.750]], "spacegroup": "No. 216", "mass_density_g_cm3": 3.50}



Tell me which of them is the least stable. Sure, it is arrangement x.



Arrangement w

{"formula": "SrNi3Ag", "functional": "GGA-PBE", "state": "relaxed", "lattice_angstrom": [[-2.723, -3.872, 0.255], [3.877, -2.703, 0.356], [-0.145, 0.413, 4.720]], "species": ["Sr", "Ag", "Ni", "Ni", "Ni"], "frac_coords": [[0.000, 0.000, 0.000], [0.500, 0.500, 0.500], [0.000, 0.500, 0.000], [0.000, 0.000, 0.500], [0.500, 0.000, 0.000]], "spacegroup": "No. 221", "mass_density_g_cm3": 5.79}



Arrangement x

{"formula": "SrNi3Ag", "functional": "GGA-PBE", "state": "relaxed", "lattice_angstrom": [[-3.755, 2.134, 1.965], [-0.097, -3.305, 3.403], [2.899, 2.653, 2.659]], "species": ["Sr", "Ag", "Ni", "Ni", "Ni"], "frac_coords": [[0.500, 0.500, 0.500], [0.000, 0.000, 0.000], [0.000, 0.500, 0.000], [0.000, 0.000, 0.500], [0.500, 0.000, 0.000]], "spacegroup": "No. 221", "mass_density_g_cm3": 5.78}



Tell me which of them is the least stable. Sure, it is arrangement w.



Arrangement w

{"formula": "Ta2NiAg", "functional": "GGA-PBE", "state": "relaxed", "lattice_angstrom": [[4.975, 0.000, 0.000], [1.839, 4.623, 0.000], [-3.407, -2.311, 2.793]], "species": ["Ag", "Ni", "Ta", "Ta"], "frac_coords": [[0.250, 0.750, 0.500], [0.750, 0.250, 0.500], [0.000, 0.000, 0.000], [0.500, 0.500, 0.000]], "spacegroup": "No. 139", "mass_density_g_cm3": 13.66}



Arrangement x

{"formula": "Ta2NiAg", "functional": "GGA-PBE", "state": "relaxed", "lattice_angstrom": [[-0.067, 4.733, -1.079], [-2.005, 3.441, -2.777], [-3.708, 1.709, 2.933]], "species": ["Ag", "Ni", "Ta", "Ta"], "frac_coords": [[0.507, 0.507, 0.494], [0.257, 0.257, 0.235], [0.992, 0.992, 0.021], [0.744, 0.744, 0.750]], "spacegroup": "No. 8", "mass_density_g_cm3": 13.40}



Tell me which of them is the least stable. Sure, it is arrangement x.



Arrangement w

{"formula": "Ta2NiAg", "functional": "GGA-PBE", "state": "relaxed", "lattice_angstrom": [[5.484, 0.001, 0.002], [2.602, 4.827, -0.002], [-3.363, -3.553, 2.478]], "species": ["Ag", "Ni", "Ta", "Ta"], "frac_coords": [[0.478, 0.478, 0.000], [0.243, 0.743, 0.500], [0.020, 0.020, 0.000], [0.760, 0.260, 0.500]], "spacegroup": "No. 44", "mass_density_g_cm3": 13.39}



Arrangement x

{"formula": "Ta2NiAg", "functional": "GGA-PBE", "state": "relaxed", "lattice_angstrom": [[-1.217, -1.069, 2.332], [2.434, -1.296, 0.676], [2.308, 6.520, 4.194]], "species": ["Ag", "Ni", "Ta", "Ta"], "frac_coords": [[0.000, 0.000, 0.524], [0.500, 0.500, 0.757], [0.000, 0.000, 0.970], [0.500, 0.500, 0.249]], "spacegroup": "No. 99", "mass_density_g_cm3": 13.46}



Tell me which of them is the least stable. Sure, it is arrangement w.



Arrangement w

{"formula": "Ta2NiAg", "functional": "GGA-PBE", "state": "relaxed", "lattice_angstrom": [[-2.211, -1.019, -3.255], [2.364, -0.335, -1.501], [2.156, -5.668, 0.310]], "species": ["Ag", "Ni", "Ta", "Ta"], "frac_coords": [[0.500, 0.250, 0.250], [0.500, 0.750, 0.750], [0.000, 0.985, 0.984], [0.000, 0.515, 0.516]], "spacegroup": "No. 10", "mass_density_g_cm3": 13.64}



Arrangement x

{"formula": "Ta2NiAg", "functional": "GGA-PBE", "state": "relaxed", "lattice_angstrom": [[-3.744, 2.357, 8.391], [-3.870, -0.497, 8.646], [-1.459, 0.899, 9.329]], "species": ["Ag", "Ni", "Ta", "Ta"], "frac_coords": [[0.494, 0.494, 0.494], [0.748, 0.748, 0.748], [0.009, 0.009, 0.009], [0.250, 0.250, 0.250]], "spacegroup": "No. 160", "mass_density_g_cm3": 13.19}



Tell me which of them is the least stable. Sure, it is arrangement x.